Density functional theory data (SCAN) for Sr2ZnAg at its PBEsol-relaxed geometry.

Output
Calculated volume: 28.1 Å³ per atom
N(E_F): 0.673 states/eV/atom
Energy of formation from the pure elements: -0.6 eV/f.u.
Electronic total energy: -22.507 eV/atom

a b c (Å): 3.8718 5.2695 6.3993
angles (deg): 114.31 107.61 90.00
Last column: nearest neighbours and their distance in Å.
Sites, in units of the cell vectors:
Ag1 0.7945 0.2945 0.5890  2 Zn 2.64
Sr1 0.0214 0.0214 0.0429  4 Zn 3.35, 2 Sr 3.47, 4 Ag 3.57-3.63
Sr2 0.2271 0.7271 0.4542  4 Ag 3.35, 2 Sr 3.47, 4 Zn 3.55-3.65
Zn1 0.4570 0.4570 0.9140  2 Ag 2.64

Density functional theory data (SCAN) for Sr2ZnAg at its PBEsol-relaxed geometry.

Output
Calculated volume: 28.1 Å³ per atom
N(E_F): 0.831 states/eV/atom
Energy of formation from the pure elements: -0.9 eV/f.u.
Electronic total energy: -22.585 eV/atom

a b c (Å): 3.8471 3.8471 7.5993
angles (deg): 90.00 90.00 90.00
Last column: nearest neighbours and their distance in Å.
Sites, in units of the cell vectors:
Sr1 0.0000 0.0000 0.2518  4 Zn 3.31, 4 Ag 3.33
Sr2 0.0000 0.0000 0.7482  4 Zn 3.31, 4 Ag 3.33
Zn1 0.5000 0.5000 0.5000  8 Sr 3.31
Ag1 0.5000 0.5000 0.0000  8 Sr 3.33

Density functional theory data (SCAN) for SrZnAg2 at its PBEsol-relaxed geometry.

Output
Calculated volume: 23.3 Å³ per atom
N(E_F): 0.403 states/eV/atom
Energy of formation from the pure elements: -0.8 eV/f.u.
Electronic total energy: -24.839 eV/atom

a b c (Å): 4.5325 4.5341 5.8596
angles (deg): 112.75 90.00 119.99
Last column: nearest neighbours and their distance in Å.
Sites, in units of the cell vectors:
Sr1 0.5045 0.0089 0.5134  4 Zn 3.15-3.35, 7 Ag 3.16-3.50
Zn1 0.3044 0.6088 0.9133  6 Ag 2.63-2.83
Ag1 0.9856 0.9713 0.9568  3 Zn 2.63, 3 Ag 2.75
Ag2 0.7055 0.4110 0.1164  3 Ag 2.75, 3 Zn 2.83

Density functional theory data (SCAN) for Sr2ZnAg at its PBEsol-relaxed geometry.

Output
Calculated volume: 30.1 Å³ per atom
N(E_F): 0.618 states/eV/atom
Energy of formation from the pure elements: -1.1 eV/f.u.
Electronic total energy: -22.636 eV/atom

a b c (Å): 4.4744 4.5884 6.2705
angles (deg): 90.00 110.90 90.00
Last column: nearest neighbours and their distance in Å.
Sites, in units of the cell vectors:
Sr1 0.9829 0.5000 0.9659  3 Ag 3.27-3.48, 4 Zn 3.34
Sr2 0.2677 0.0000 0.5354  3 Zn 3.28-3.46, 4 Ag 3.34
Zn1 0.5633 0.0000 0.1266  2 Ag 2.71
Ag1 0.6861 0.5000 0.3721  2 Zn 2.71

Density functional theory data (SCAN) for SrZnAg2 at its PBEsol-relaxed geometry.

Output
Calculated volume: 21.0 Å³ per atom
N(E_F): 0.294 states/eV/atom
Energy of formation from the pure elements: -0.2 eV/f.u.
Electronic total energy: -24.693 eV/atom

a b c (Å): 3.4589 3.4589 7.0248
angles (deg): 90.00 90.00 90.00
Last column: nearest neighbours and their distance in Å.
Sites, in units of the cell vectors:
Ag1 0.0000 0.0000 0.6927  1 Ag 2.71, 4 Zn 2.80
Ag2 0.0000 0.0000 0.3073  1 Ag 2.71, 4 Zn 2.80
Sr1 0.5000 0.5000 0.0000  8 Ag 3.26, 4 Sr 3.46, 2 Zn 3.51
Zn1 0.5000 0.5000 0.5000  8 Ag 2.80

Density functional theory data (SCAN) for SrZnAg4 at its PBEsol-relaxed geometry.

Output
Calculated volume: 19.9 Å³ per atom
N(E_F): 0.599 states/eV/atom
Energy of formation from the pure elements: -0.5 eV/f.u.
Electronic total energy: -26.963 eV/atom

a b c (Å): 5.5316 5.5316 5.5316
angles (deg): 60.00 60.00 60.00
Last column: nearest neighbours and their distance in Å.
Sites, in units of the cell vectors:
Sr1 0.7500 0.7500 0.7500  12 Ag 3.24, 4 Zn 3.39
Zn1 0.0000 0.0000 0.0000  12 Ag 3.24, 4 Sr 3.39
Ag1 0.3743 0.3743 0.3743  6 Ag 2.75-2.78
Ag2 0.3743 0.3743 0.8771  6 Ag 2.75-2.78
Ag3 0.8771 0.3743 0.3743  6 Ag 2.75-2.78
Ag4 0.3743 0.8771 0.3743  6 Ag 2.75-2.78

Number 1: calculated density 5.16 g/cm3. Number 2: calculated density 5.15 g/cm3. Number 3: calculated density 6.56 g/cm3. Number 4: calculated density 4.81 g/cm3. Number 5: calculated density 7.29 g/cm3. Number 6: calculated density 8.11 g/cm3.